Material: Nd4Te3Pb
Method: DFT, PBE
State: relaxed

Summary:
Space group: I4/mmm (139)
Energy: -5.29 eV/atom

Geometry as POSCAR:
```
Nd4Te3Pb
1.0
12.8116 0.0000 0.0000
0.0000 6.3857 0.0000
0.0000 0.0000 6.3857
Te Nd Pb
6 8 2
direct
0.2500 0.2502 0.0644
0.7500 0.2502 0.0644
0.0000 0.7495 0.0643
0.5000 0.2504 0.5643
0.2500 0.7498 0.5644
0.7500 0.7498 0.5644
0.2472 0.2498 0.5644
0.2528 0.7502 0.0644
0.5000 0.2498 0.0643
0.0000 0.2495 0.0645
0.5000 0.7505 0.5645
0.7528 0.2498 0.5644
0.0000 0.7502 0.5643
0.7472 0.7502 0.0644
0.0000 0.2502 0.5645
0.5000 0.7498 0.0645
```

---

Material: Nd5Te4Pb
Method: DFT, PBE
State: relaxed

Summary:
Space group: I4/m (87)
Energy: -5.30 eV/atom

Geometry as POSCAR:
```
Nd5Te4Pb
1.0
4.3860 -5.8638 2.7652
0.8370 7.7742 0.3578
-6.3108 -0.8384 4.5539
Te Nd Pb
4 5 1
direct
0.8017 0.4018 0.2015
0.6002 0.8017 0.3998
0.2004 0.6002 0.7985
0.4018 0.2004 0.6002
0.5012 0.5012 0.0000
0.1003 0.2978 0.3962
0.9017 0.7042 0.6038
0.7042 0.1003 0.8025
0.2978 0.9017 0.1975
0.0011 0.0011 0.0000
```

---

Material: NdZnTe3Pb
Method: DFT, PBE
State: relaxed

Summary:
Space group: Cmcm (63)
Energy: -3.88 eV/atom

Geometry as POSCAR:
```
NdZnTe3Pb
1.0
2.2121 -7.3859 0.0000
2.2121 7.3859 0.0000
0.0000 0.0000 11.5563
Zn Pb Te Nd
2 2 6 2
direct
0.0265 0.9735 0.7500
0.9735 0.0265 0.2500
0.7155 0.2845 0.7500
0.2845 0.7155 0.2500
0.8532 0.1468 0.4379
0.5910 0.4090 0.2500
0.1468 0.8532 0.9379
0.4090 0.5910 0.7500
0.1468 0.8532 0.5621
0.8532 0.1468 0.0621
0.5000 0.5000 0.0000
0.5000 0.5000 0.5000
```

---

Material: NdTlPb
Method: DFT, PBE
State: relaxed

Summary:
Space group: F-43m (216)
Distance to the lowest polymorph of the same formula: 16.7 meV/atom

Geometry as POSCAR:
```
NdTlPb
1.0
0.0000 3.6862 3.6862
3.6862 0.0000 3.6862
3.6862 3.6862 0.0000
Nd Pb Tl
1 1 1
direct
0.2500 0.2500 0.2500
0.7500 0.7500 0.7500
0.0000 0.0000 0.0000
```

---

Material: NdTlPb
Method: DFT, PBE
State: relaxed

Summary:
Space group: F-43m (216)
Distance to the lowest polymorph of the same formula: 0.0 meV/atom

Geometry as POSCAR:
```
NdTlPb
1.0
0.6358 -4.8485 1.9152
-3.6110 -3.6930 -0.9501
1.1050 -3.9802 -3.2430
Pb Tl Nd
1 1 1
direct
0.2500 0.2500 0.2500
0.7500 0.7500 0.7500
0.0000 0.0000 0.0000
```

---

Material: NdYPb
Method: DFT, PBE
State: relaxed

Summary:
Space group: F-43m (216)
Energy: -5.24 eV/atom

Geometry as POSCAR:
```
NdYPb
1.0
3.7437 1.7794 3.2380
-1.0184 0.5874 5.1268
2.2027 -3.2424 3.5073
Y Pb Nd
1 1 1
direct
0.7500 0.7500 0.7500
0.0000 0.0000 0.0000
0.2500 0.2500 0.2500
```

---

Material: NdYZn2Pb2
Method: DFT, PBE
State: relaxed

Summary:
Space group: P6_3/mmc (194)
Distance to the lowest polymorph of the same formula: 10.3 meV/atom

Geometry as POSCAR:
```
NdYZn2Pb2
1.0
4.6381 0.0000 0.0000
-2.3190 4.0167 0.0000
0.0000 0.0000 16.3036
Nd Pb Y Zn
2 4 2 4
direct
0.0000 0.0000 0.2500
0.0000 0.0000 0.7500
0.6667 0.3333 0.8916
0.3333 0.6667 0.3916
0.3333 0.6667 0.1084
0.6667 0.3333 0.6084
0.0000 0.0000 0.5000
0.0000 0.0000 0.0000
0.3333 0.6667 0.8378
0.6667 0.3333 0.1622
0.6667 0.3333 0.3378
0.3333 0.6667 0.6622
```

---

Material: NdYZn2Pb2
Method: DFT, PBE
State: relaxed

Summary:
Space group: P6_3/mmc (194)
Distance to the lowest polymorph of the same formula: 0.0 meV/atom

Geometry as POSCAR:
```
NdYZn2Pb2
1.0
4.6187 0.0000 0.0000
-2.3094 3.9999 0.0000
0.0000 0.0000 16.3167
Y Pb Nd Zn
2 4 2 4
direct
0.0000 0.0000 0.2500
0.0000 0.0000 0.7500
0.6667 0.3333 0.8862
0.3333 0.6667 0.3862
0.6667 0.3333 0.6138
0.3333 0.6667 0.1138
0.0000 0.0000 0.0000
0.0000 0.0000 0.5000
0.3333 0.6667 0.6660
0.6667 0.3333 0.1660
0.3333 0.6667 0.8340
0.6667 0.3333 0.3340
```

---

Material: NdPd
Method: DFT, PBE
State: relaxed

Summary:
Space group: F-43m (216)
ΔH_f (0 K): -86 meV/atom

Geometry as POSCAR:
```
NdPd
1.0
-2.6409 -3.7530 -0.1488
-3.3358 -0.5842 3.1005
-4.3994 0.3375 -1.2700
Pd Nd
1 1
direct
0.2500 0.2500 0.2500
0.0000 0.0000 0.0000
```

---

Material: NdPd
Method: DFT, PBE
State: relaxed

Summary:
Space group: Amm2 (38)
ΔH_f (0 K): -817 meV/atom

Geometry as POSCAR:
```
NdPd
1.0
4.6183 0.0000 0.0000
0.0000 1.9360 5.4349
0.0000 -1.9360 5.4349
Pd Nd
2 2
direct
0.5000 0.9142 0.9142
0.0000 0.0863 0.0863
0.0000 0.3628 0.3628
0.5000 0.6367 0.6367
```

---

Material: NdPd
Method: DFT, PBE
State: relaxed

Summary:
Space group: P-6m2 (187)
ΔH_f (0 K): -451 meV/atom

Geometry as POSCAR:
```
NdPd
1.0
-0.6455 -3.4555 -0.5763
2.6428 1.6331 -1.7429
2.7333 -1.0394 3.1707
Nd Pd
1 1
direct
0.6667 0.3333 0.7500
0.3333 0.6667 0.2500
```

---

Material: NdPd
Method: DFT, PBE
State: relaxed

Summary:
Space group: P6_3/mmc (194)
ΔH_f (0 K): -594 meV/atom

Geometry as POSCAR:
```
NdPd
1.0
-3.5112 -0.7227 1.8587
2.8432 -2.8644 -0.1289
2.8103 2.5067 6.2834
Nd Pd
2 2
direct
0.0000 0.0000 0.0000
0.0000 0.0000 0.5000
0.6667 0.3333 0.2500
0.3333 0.6667 0.7500
```

---

Material: NdPd
Method: DFT, PBE
State: relaxed

Summary:
Space group: P6_3/mmc (194)
ΔH_f (0 K): -725 meV/atom

Geometry as POSCAR:
```
NdPd
1.0
4.5260 0.0000 0.0000
-2.2630 3.9196 0.0000
0.0000 0.0000 5.7928
Pd Nd
2 2
direct
0.0000 0.0000 0.0000
0.0000 0.0000 0.5000
0.6667 0.3333 0.2500
0.3333 0.6667 0.7500
```

---

Material: Nd2Pd
Method: DFT, PBE
State: relaxed

Summary:
Space group: P-62m (189)
ΔH_f (0 K): -449 meV/atom

Geometry as POSCAR:
```
Nd2Pd
1.0
-1.7362 -6.5399 4.5875
6.7606 4.3517 1.4786
-2.1623 2.4504 2.6748
Nd Pd
6 3
direct
0.7415 0.0000 0.0000
0.5909 0.5909 0.5000
0.2585 0.2585 0.0000
0.4091 0.0000 0.5000
0.0000 0.4091 0.5000
0.0000 0.7415 0.0000
0.6667 0.3333 0.0000
0.0000 0.0000 0.5000
0.3333 0.6667 0.0000
```

---

Material: Nd7Pd3
Method: DFT, PBE
State: relaxed

Summary:
Space group: P6_3mc (186)
ΔH_f (0 K): -498 meV/atom

Geometry as POSCAR:
```
Nd7Pd3
1.0
10.1897 0.0000 0.0000
-5.0948 8.8245 0.0000
0.0000 0.0000 6.4326
Nd Pd
14 6
direct
0.8748 0.7496 0.2410
0.8748 0.1252 0.2410
0.0753 0.5377 0.4501
0.6667 0.3333 0.4459
0.2504 0.1252 0.2410
0.3333 0.6667 0.9459
0.1252 0.8748 0.7410
0.7496 0.8748 0.7410
0.1252 0.2504 0.7410
0.5377 0.0753 0.9501
0.9247 0.4623 0.9501
0.5377 0.4623 0.9501
0.4623 0.9247 0.4501
0.4623 0.5377 0.4501
0.8104 0.6208 0.6913
0.1896 0.8104 0.1913
0.8104 0.1896 0.6913
0.3792 0.1896 0.6913
0.1896 0.3792 0.1913
0.6208 0.8104 0.1913
```

---

Material: Nd2Pd
Method: DFT, PBE
State: relaxed

Summary:
Space group: Fm-3m (225)
ΔH_f (0 K): -368 meV/atom

Geometry as POSCAR:
```
Nd2Pd
1.0
0.0000 3.5557 3.5557
3.5557 0.0000 3.5557
3.5557 3.5557 0.0000
Pd Nd
1 2
direct
0.0000 0.0000 0.0000
0.2500 0.2500 0.2500
0.7500 0.7500 0.7500
```

---

Material: Nd2Pd
Method: DFT, PBE
State: relaxed

Summary:
Space group: Fd-3m (227)
ΔH_f (0 K): 934 meV/atom

Geometry as POSCAR:
```
Nd2Pd
1.0
3.6893 7.3338 3.2986
8.0505 2.4966 -2.6895
0.9338 7.1640 -5.1071
Nd Pd
4 2
direct
0.3750 0.3750 0.3750
0.3750 0.3750 0.8750
0.8750 0.3750 0.3750
0.3750 0.8750 0.3750
0.2500 0.2500 0.2500
0.5000 0.5000 0.5000
```

---

Material: Nd2Pd
Method: DFT, PBE
State: relaxed

Summary:
Space group: Fd-3m (227)
ΔH_f (0 K): 427 meV/atom

Geometry as POSCAR:
```
Nd2Pd
1.0
-6.1242 -0.1831 0.6822
-3.5895 3.7057 -3.3746
-3.5300 -2.3610 -4.4688
Nd Pd
4 2
direct
0.6250 0.1250 0.6250
0.6250 0.6250 0.6250
0.1250 0.6250 0.6250
0.6250 0.6250 0.1250
0.0000 0.0000 0.0000
0.2500 0.2500 0.2500
```

---

Material: PrNdPd2
Method: DFT, PBE
State: relaxed

Summary:
Space group: Amm2 (38)
ΔH_f (0 K): -805 meV/atom

Geometry as POSCAR:
```
PrNdPd2
1.0
4.6571 0.0000 0.0000
0.0000 1.9380 5.4557
0.0000 -1.9380 5.4557
Pr Nd Pd
1 1 2
direct
0.5000 0.3632 0.3632
0.0000 0.6367 0.6367
0.0000 0.9134 0.9134
0.5000 0.0866 0.0866
```

---

Material: PrNdPd
Method: DFT, PBE
State: relaxed

Summary:
Space group: F-43m (216)
ΔH_f (0 K): -357 meV/atom
Distance to the lowest polymorph of the same formula: 0.0 meV/atom

Geometry as POSCAR:
```
PrNdPd
1.0
-0.4045 1.3437 4.8269
-3.9285 2.7400 1.5255
-3.5405 -2.0796 2.8996
Pd Nd Pr
1 1 1
direct
0.0000 0.0000 0.0000
0.2500 0.2500 0.2500
0.7500 0.7500 0.7500
```

---

Material: PrNd2Si4Pd2Pt2
Method: DFT, PBE
State: relaxed

Summary:
Space group: Immm (71)
Energy: -6.31 eV/atom

Geometry as POSCAR:
```
PrNd2Si4Pd2Pt2
1.0
12.2286 -3.0150 1.6533
12.2409 2.9283 1.7163
-12.6403 -0.0624 1.2573
Pr Si Pd Nd Pt
1 4 2 2 2
direct
0.0000 0.0000 0.0000
0.4516 0.4516 0.0000
0.5484 0.5484 0.0000
0.1956 0.6956 0.5000
0.8044 0.3044 0.5000
0.0976 0.5976 0.5000
0.9024 0.4024 0.5000
0.6466 0.1466 0.5000
0.3534 0.8534 0.5000
0.7527 0.7527 0.0000
0.2473 0.2473 0.0000
```

---

Material: PrNd2Sn3Pd2Pt
Method: DFT, PBE
State: relaxed

Summary:
Space group: Amm2 (38)
Energy: -5.70 eV/atom

Geometry as POSCAR:
```
PrNd2Sn3Pd2Pt
1.0
4.1401 0.0000 0.0000
0.0000 6.6394 3.8327
0.0000 -6.6394 3.8327
Sn Pd Nd Pr Pt
3 2 2 1 1
direct
0.5000 0.2521 0.9994
0.5000 0.7480 0.7480
0.5000 0.9994 0.2521
0.5000 0.6678 0.3328
0.5000 0.3328 0.6678
0.0000 0.5914 0.0002
0.0000 0.0002 0.5914
0.0000 0.4093 0.4093
0.0000 0.9990 0.9990
```

---

Material: Pr2NdSi2Sn2Pd4
Method: DFT, PBE
State: relaxed

Summary:
Space group: Immm (71)
Energy: -5.77 eV/atom

Geometry as POSCAR:
```
Pr2NdSi2Sn2Pd4
1.0
-2.0714 2.2224 13.0893
2.0714 -2.2224 13.0893
2.0714 2.2224 -13.0893
Nd Si Pd Pr Sn
1 2 4 2 2
direct
0.0000 0.0000 0.0000
0.7998 0.2998 0.5000
0.2002 0.7002 0.5000
0.8911 0.3911 0.5000
0.2496 0.2496 0.0000
0.1089 0.6089 0.5000
0.7504 0.7504 0.0000
0.6558 0.1558 0.5000
0.3442 0.8442 0.5000
0.5541 0.5541 0.0000
0.4459 0.4459 0.0000
```

---

Material: Pr2NdZn2Si4Pd2
Method: DFT, PBE
State: relaxed

Summary:
Space group: Immm (71)
Distance to the lowest polymorph of the same formula: 6.6 meV/atom

Geometry as POSCAR:
```
Pr2NdZn2Si4Pd2
1.0
-2.0728 2.1229 12.5711
2.0728 -2.1229 12.5711
2.0728 2.1229 -12.5711
Si Zn Pr Pd Nd
4 2 2 2 1
direct
0.8093 0.3093 0.5000
0.4526 0.4526 0.0000
0.5474 0.5474 0.0000
0.1907 0.6907 0.5000
0.7500 0.7500 0.0000
0.2500 0.2500 0.0000
0.3535 0.8535 0.5000
0.6465 0.1465 0.5000
0.9055 0.4055 0.5000
0.0945 0.5945 0.5000
0.0000 0.0000 0.0000
```

---

Material: Pr2NdZn2Si4Pd2
Method: DFT, PBE
State: relaxed

Summary:
Space group: Immm (71)
Distance to the lowest polymorph of the same formula: 0.0 meV/atom

Geometry as POSCAR:
```
Pr2NdZn2Si4Pd2
1.0
-2.0925 2.1283 12.2838
2.0925 -2.1283 12.2838
2.0925 2.1283 -12.2838
Si Pr Zn Pd Nd
4 2 2 2 1
direct
0.5481 0.5481 0.0000
0.3039 0.8039 0.5000
0.6961 0.1961 0.5000
0.4519 0.4519 0.0000
0.1473 0.6473 0.5000
0.8527 0.3527 0.5000
0.4029 0.9029 0.5000
0.5971 0.0971 0.5000
0.2500 0.2500 0.0000
0.7500 0.7500 0.0000
0.0000 0.0000 0.0000
```